No. 1
First-principles (PBE) data for a relaxed structure of AgGeF5, as listed in the Alexandria database.

The structure in extended XYZ format:
```
14
Lattice="4.3022 -5.0021 0.0000 4.3022 5.0021 0.0000 -3.5296 0.0000 5.1705" Properties=species:S:1:pos:R:3 pbc="T T T"
Ag 1.6550 3.7367 3.8779
Ag 3.4198 -3.7367 1.2926
Ge 2.1511 2.5010 0.0000
Ge 0.3863 -2.5010 2.5853
F 1.2968 0.9125 0.0751
F -0.3187 1.9168 3.8431
F -0.4680 -0.9125 2.6604
F 3.4198 1.8220 1.2926
F 1.4461 -1.9168 1.2578
F 3.6287 1.9168 3.9127
F 1.6550 -1.8220 3.8779
F 5.5428 0.9125 2.5101
F 5.3935 -1.9168 1.3274
F 3.7780 -0.9125 5.0954
```

**Relative energy among the computed polymorphs**: 0.00 eV/f.u.
**Formation energy without anion corrections**: -2.04 eV/atom

---

No. 2
First-principles (PBE) data for a relaxed structure of Tb2Pm3Ho6Zr, as listed in the Alexandria database.

The structure in extended XYZ format:
```
12
Lattice="3.0611 -5.2956 0.0000 3.0611 5.2956 0.0000 -2.0311 0.0000 11.4790" Properties=species:S:1:pos:R:3 pbc="T T T"
Tb 3.0611 3.5301 0.0000
Tb 3.0611 -3.5301 0.0000
Pm -1.0155 0.0000 5.7395
Pm 2.0456 1.7593 5.7395
Pm 2.0456 -1.7593 5.7395
Ho 0.0303 1.7289 8.6942
Ho 1.0647 0.0000 2.7826
Ho 0.0303 -1.7289 8.6942
Ho 4.0609 1.7289 2.7848
Ho 3.0264 0.0000 8.6965
Ho 4.0609 -1.7289 2.7848
Zr 3.0611 0.0000 0.0000
```

**Energy of formation**: 0.044 eV per atom

---

No. 3
First-principles (PBE) data for a relaxed structure of TbSm3Y2Tm6, as listed in the Alexandria database.

The structure in extended XYZ format:
```
12
Lattice="3.0731 -5.3188 0.0000 3.0731 5.3188 0.0000 -2.0430 0.0000 11.5169" Properties=species:S:1:pos:R:3 pbc="T T T"
Tb 0.0000 0.0000 0.0000
Sm 2.0516 3.5446 5.7584
Sm 2.0516 0.0000 5.7584
Sm 2.0516 -3.5446 5.7584
Y 3.0731 1.7735 0.0000
Y 3.0731 -1.7735 0.0000
Tm 1.0236 1.7694 2.8651
Tm 0.0002 0.0000 8.6517
Tm 1.0236 -1.7694 2.8651
Tm 3.0797 1.7694 8.6518
Tm 4.1030 0.0000 2.8652
Tm 3.0797 -1.7694 8.6518
```

**Energy of formation**: 0.023 eV per atom

---

No. 4
First-principles (PBE) data for a relaxed structure of AcCe3Zn3, as listed in the Alexandria database.

The structure in extended XYZ format:
```
14
Lattice="7.9022 0.0000 0.0000 0.0000 7.9022 0.0000 0.0000 0.0000 7.9022" Properties=species:S:1:pos:R:3 pbc="T T T"
Ac 0.0000 0.0000 0.0000
Ac 3.9511 3.9511 3.9511
Ce 0.0000 1.9756 3.9511
Ce 0.0000 5.9267 3.9511
Ce 1.9756 3.9511 0.0000
Ce 3.9511 0.0000 1.9756
Ce 3.9511 0.0000 5.9267
Ce 5.9267 3.9511 0.0000
Zn 0.0000 3.9511 1.9756
Zn 0.0000 3.9511 5.9267
Zn 1.9756 0.0000 3.9511
Zn 3.9511 1.9756 0.0000
Zn 3.9511 5.9267 0.0000
Zn 5.9267 0.0000 3.9511
```

**Energy of formation**: 0.433 eV per atom

---

no.,magnetic moment (μB per formula unit),E_tot (eV per atom)
1,0.07,-4.44
2,0.00,-4.92
3,0.00,-4.86
4,3.06,-3.24